No. 1
The following is a DFT calculation (GGA-PBE) of crystalline PrSnOs at its relaxed geometry.

a b c (Å): 4.766 4.766 4.766
angles (deg): 60.00 60.00 60.00
Positions (direct):
Pr: 0.000 0.000 0.000
Sn: 0.500 0.500 0.500
Os: 0.250 0.250 0.250

Values from the calculation:
* M_tot: 0.0 μB per formula unit
* final energy: -6.657 eV/atom
* space group: No. 216



No. 2
The following is a DFT calculation (GGA-PBE) of crystalline PaNiSb2 at its relaxed geometry.

a b c (Å): 4.370 4.370 9.098
angles (deg): 90.00 90.00 90.00
Positions (direct):
Pa: 0.250 0.250 0.231
Pa: 0.750 0.750 0.769
Ni: 0.250 0.750 0.000
Ni: 0.750 0.250 0.000
Sb: 0.250 0.250 0.844
Sb: 0.250 0.750 0.500
Sb: 0.750 0.250 0.500
Sb: 0.750 0.750 0.156

Values from the calculation:
* M_tot: 0.0 μB per formula unit
* final energy: -6.380 eV/atom
* space group: No. 129



No. 3
The following is a DFT calculation (GGA-PBE) of crystalline Th2Sn3Hg3 at its relaxed geometry.

a b c (Å): 4.732 4.814 9.244
angles (deg): 90.00 90.00 90.00
Positions (direct):
Th: 0.000 0.000 0.245
Th: 0.000 0.000 0.755
Sn: 0.000 0.500 0.000
Sn: 0.500 0.000 0.000
Sn: 0.500 0.000 0.500
Hg: 0.000 0.500 0.500
Hg: 0.500 0.500 0.254
Hg: 0.500 0.500 0.746

Values from the calculation:
* M_tot: 0.0 μB per formula unit
* final energy: -3.848 eV/atom
* space group: No. 47



No. 4
The following is a DFT calculation (GGA-PBE) of crystalline ZrCo5Ni2 at its relaxed geometry.

a b c (Å): 4.124 5.170 5.170
angles (deg): 60.00 90.00 90.00
Positions (direct):
Zr: 0.000 0.000 0.000
Co: 0.000 0.004 0.495
Co: 0.000 0.495 0.004
Co: 0.500 0.331 0.331
Co: 0.500 0.363 0.825
Co: 0.500 0.825 0.363
Ni: 0.000 0.498 0.498
Ni: 0.500 0.824 0.824

Values from the calculation:
* M_tot: 7.1 μB per formula unit
* ΔE_f: -0.045 eV per atom
* space group: No. 38



No. 5
The following is a DFT calculation (GGA-PBE) of crystalline K2Cu at its relaxed geometry.

a b c (Å): 5.574 5.574 5.574
angles (deg): 60.00 60.00 60.00
Positions (direct):
K: 0.250 0.250 0.250
K: 0.750 0.750 0.750
Cu: 0.000 0.000 0.000

Values from the calculation:
* E above lowest polymorph: 0 meV per atom
* space group: No. 225



No. 6
The following is a DFT calculation (GGA-PBE) of crystalline Mg2ZrBi at its relaxed geometry.

a b c (Å): 5.149 5.149 5.149
angles (deg): 60.00 60.00 60.00
Positions (direct):
Mg: 0.000 0.000 0.000
Mg: 0.250 0.250 0.250
Zr: 0.750 0.750 0.750
Bi: 0.500 0.500 0.500

Values from the calculation:
* M_tot: 0.3 μB per formula unit
* final energy: -3.779 eV/atom
* space group: No. 216



No. 7
The following is a DFT calculation (GGA-PBE) of crystalline Ta3SnN2 at its relaxed geometry.

a b c (Å): 3.159 3.159 19.226
angles (deg): 90.00 90.00 120.00
Positions (direct):
Ta: 0.000 0.000 0.000
Ta: 0.000 0.000 0.500
Ta: 0.333 0.667 0.127
Ta: 0.333 0.667 0.373
Ta: 0.667 0.333 0.627
Ta: 0.667 0.333 0.873
Sn: 0.000 0.000 0.250
Sn: 0.000 0.000 0.750
N: 0.333 0.667 0.564
N: 0.333 0.667 0.936
N: 0.667 0.333 0.064
N: 0.667 0.333 0.436

Values from the calculation:
* M_tot: 0.0 μB per formula unit
* final energy: -9.882 eV/atom
* space group: No. 194



No. 8
The following is a DFT calculation (GGA-PBE) of crystalline KTl2Cd2 at its relaxed geometry.

a b c (Å): 7.436 7.436 7.436
angles (deg): 141.62 141.62 55.41
Positions (direct):
K: 0.000 0.000 0.000
Tl: 0.250 0.750 0.500
Tl: 0.750 0.250 0.500
Cd: 0.393 0.393 0.000
Cd: 0.607 0.607 0.000

Values from the calculation:
* E above lowest polymorph: 0 meV per atom
* space group: No. 139



Number 1: density 9.76 g/cm3. Number 2: density 10.19 g/cm3. Number 3: density 11.21 g/cm3. Number 4: density 8.75 g/cm3. Number 5: density 1.92 g/cm3. Number 6: density 6.00 g/cm3. Number 7: density 13.78 g/cm3. Number 8: density 7.10 g/cm3.